Computed, not measured: a relaxed Rb2CaHg crystal at the PBE level of DFT.

Geometry as CIF:
```
data_Rb2CaHg
_chemical_formula_sum 'Rb6 Ca3 Hg3'
_space_group_name_H-M_alt 'R -3 m'
_space_group_IT_number 166
_space_group_name_Hall '-R 3 2"'
_cell_length_a 4.2283
_cell_length_b 4.2283
_cell_length_c 41.1733
_cell_angle_alpha 90.00
_cell_angle_beta 90.00
_cell_angle_gamma 120.00
loop_
_atom_site_label
_atom_site_type_symbol
_atom_site_fract_x
_atom_site_fract_y
_atom_site_fract_z
Rb1 Rb 0.0000 0.0000 0.0993
Ca1 Ca 0.0000 0.0000 0.0000
Hg1 Hg 0.0000 0.0000 0.5000
```

Calculated values
- E (eV/atom) = -0.9485
- N(E_F) (states/eV/f.u.) = 3.7
- mass density (Mg/m³) = 3.22
- calculated volume (Å³ per cell) = 638